No. 1
Al2CrSb | Alexandria via LeMat-Bulk | PBE-GGA | relaxed; space-group type = C2/m (12); E_tot = -5.079 eV per atom; density = 5.2 g/cm³; E_form (uncorrected) = 229 meV per atom
1.0
4.913 -1.597 0.000
4.913 1.597 0.000
-0.668 0.000 4.608
Al Cr Sb
2 1 1
Direct
0.242 0.242 0.231
0.758 0.758 0.769
0.500 0.500 0.000
0.000 0.000 0.500

No. 2
KTiCoCl6 | Alexandria via LeMat-Bulk | PBE-GGA | relaxed; space-group type = P312 (149); E_tot = -4.355 eV per atom; density = 2.4 g/cm³; E_form (uncorrected) = -1335 meV per atom
1.0
6.383 0.000 0.000
-3.191 5.528 0.000
0.000 0.000 6.974
K Ti Co Cl
1 1 1 6
Direct
0.000 0.000 0.000
0.333 0.667 0.500
0.667 0.333 0.500
0.006 0.379 0.303
0.006 0.627 0.697
0.373 0.379 0.697
0.373 0.994 0.303
0.621 0.627 0.303
0.621 0.994 0.697

No. 3
AlCu2SF | Alexandria via LeMat-Bulk | PBE-GGA | relaxed; space-group type = P4/mmm (123); E_tot = -3.588 eV per atom; density = 4.2 g/cm³; E_form (uncorrected) = -2 meV per atom
1.0
3.866 0.000 0.000
0.000 3.866 0.000
0.000 0.000 5.429
Al Cu S F
1 2 1 1
Direct
0.000 0.000 0.000
0.000 0.500 0.500
0.500 0.000 0.500
0.500 0.500 0.000
0.500 0.500 0.500

No. 4
LiYRu2 | Alexandria via LeMat-Bulk | PBE-GGA | relaxed; space-group type = Cmmm (65); energy of formation = 0.27 eV/atom; E_tot = -6.461 eV per atom; density = 7.2 g/cm³
1.0
2.629 -4.166 0.000
2.629 4.166 0.000
0.000 0.000 3.121
Li Y Ru
1 1 2
Direct
0.000 0.000 0.000
0.500 0.500 0.000
0.000 0.500 0.500
0.500 0.000 0.500

No. 5
Pr2C | Alexandria via LeMat-Bulk | PBE-GGA | relaxed; space-group type = C2/m (12); energy of formation = -0.07 eV/atom; E_tot = -6.334 eV per atom; density = 6.1 g/cm³
1.0
3.213 -1.854 0.000
3.213 1.854 0.000
-0.035 0.000 6.745
Pr C
2 1
Direct
0.165 0.165 0.288
0.835 0.835 0.712
0.500 0.500 0.500

No. 6
LiTlRe2 | Alexandria via LeMat-Bulk | PBE-GGA | relaxed; space-group type = C2/m (12); energy of formation = 0.64 eV/atom; E_tot = -6.658 eV per atom; density = 14.5 g/cm³
1.0
2.659 -5.024 0.000
2.659 5.024 0.000
-1.668 0.000 2.499
Li Tl Re
1 1 2
Direct
0.000 0.000 0.000
0.500 0.500 0.000
0.000 0.500 0.500
0.500 0.000 0.500

No. 7
La2BiBRh6 | Alexandria via LeMat-Bulk | PBE-GGA | relaxed; space-group type = Pmmn (59); energy of formation = -0.53 eV/atom; E_tot = -6.980 eV per atom; density = 9.7 g/cm³
1.0
5.822 0.000 0.000
0.000 8.704 0.000
0.000 0.000 7.543
La Bi B Rh
4 2 2 12
Direct
0.250 0.020 0.227
0.250 0.480 0.227
0.750 0.520 0.773
0.750 0.980 0.773
0.250 0.750 0.832
0.750 0.250 0.168
0.250 0.250 0.674
0.750 0.750 0.326
0.007 0.250 0.876
0.017 0.750 0.506
0.250 0.011 0.631
0.250 0.489 0.631
0.483 0.750 0.506
0.493 0.250 0.876
0.507 0.750 0.124
0.517 0.250 0.494
0.750 0.511 0.369
0.750 0.989 0.369
0.983 0.250 0.494
0.993 0.750 0.124

No. 8
Tb3Pr4Hg4 | Alexandria via LeMat-Bulk | PBE-GGA | relaxed; space-group type = Immm (71); energy of formation = -0.28 eV/atom; E_tot = -3.391 eV per atom; density = 9.2 g/cm³
1.0
-1.830 4.673 9.694
1.830 -4.673 9.694
1.830 4.673 -9.694
Tb Pr Hg
3 4 4
Direct
0.000 0.000 0.000
0.404 0.904 0.500
0.596 0.096 0.500
0.017 0.341 0.676
0.335 0.659 0.676
0.665 0.341 0.324
0.983 0.659 0.324
0.274 0.274 0.000
0.290 0.500 0.790
0.710 0.500 0.210
0.726 0.726 0.000

No. 9
MnReSe2 | Alexandria via LeMat-Bulk | PBE-GGA | relaxed; space-group type = Cmmm (65); E_tot = -6.515 eV per atom; density = 9.4 g/cm³; E_form (uncorrected) = 632 meV per atom
1.0
1.553 -2.802 0.000
1.553 2.802 0.000
0.000 0.000 8.095
Mn Re Se
1 1 2
Direct
0.000 0.000 0.000
0.000 0.000 0.500
0.500 0.500 0.253
0.500 0.500 0.747

No. 10
Sr3Ge3Ir | Alexandria via LeMat-Bulk | PBE-GGA | relaxed; space-group type = Cmcm (63); energy of formation = -0.55 eV/atom; E_tot = -4.513 eV per atom; density = 6.3 g/cm³
1.0
2.187 -5.699 0.000
2.187 5.699 0.000
0.000 0.000 14.223
Sr Ge Ir
6 6 2
Direct
0.013 0.987 0.750
0.272 0.728 0.101
0.272 0.728 0.399
0.728 0.272 0.601
0.728 0.272 0.899
0.987 0.013 0.250
0.308 0.692 0.750
0.441 0.559 0.586
0.441 0.559 0.914
0.559 0.441 0.086
0.559 0.441 0.414
0.692 0.308 0.250
0.000 0.000 0.000
0.000 0.000 0.500

No. 11
Tb2NdSb3 | Alexandria via LeMat-Bulk | PBE-GGA | relaxed; space-group type = Immm (71); E_tot = -5.556 eV per atom; density = 7.4 g/cm³; E_form (uncorrected) = -1157 meV per atom
1.0
-2.222 3.142 6.664
2.222 -3.142 6.664
2.222 3.142 -6.664
Tb Nd Sb
2 1 3
Direct
0.166 0.166 0.000
0.834 0.834 0.000
0.500 0.500 0.000
0.000 0.500 0.500
0.329 0.829 0.500
0.671 0.171 0.500

Question: Number 8 is which compound?
Answer: Tb3Pr4Hg4